[1]
## CeNpPt2 (PBE-GGA)

Data for an optimized crystal structure of CeNpPt2.

As for the formation energy: -0.700 eV per atom.

The structure belongs to space group P4/mmm (No. 123); the cell edges are 3.5281, 3.5281 and 7.0782 Å and the angles 90.00°, 90.00° and 90.00°. The asymmetric unit holds Ce at (0.0000, 0.0000, 0.0000), Np at (0.0000, 0.0000, 0.5000) and Pt at (0.5000, 0.5000, 0.2594).



[2]
## CuRhS2 (PBE-GGA)

Data for an optimized crystal structure of CuRhS2.

As for the uncorrected formation energy: -0.2 eV per formula unit.

The structure belongs to space group Cmcm (No. 63); the cell edges are 3.1995, 20.5928 and 3.9055 Å and the angles 90.00°, 90.00° and 90.00°. The asymmetric unit holds Cu at (0.0000, 0.0356, 0.2500), Rh at (0.0000, 0.3191, 0.2500), S at (0.0000, 0.0863, 0.7500) and S at (0.0000, 0.2053, 0.2500).



[3]
## SrCrSe2 (PBE-GGA)

Data for an optimized crystal structure of SrCrSe2.

As for the uncorrected formation energy: -3.5 eV per formula unit.

The structure belongs to space group Imm2 (No. 44); the cell edges are 3.7115, 3.8678 and 13.7354 Å and the angles 90.00°, 90.00° and 90.00°. The asymmetric unit holds Sr at (0.0000, 0.0000, 0.0000), Cr at (0.0000, 0.5000, 0.7508), Se at (0.0000, 0.0000, 0.3942) and Se at (0.0000, 0.5000, 0.1813).



[4]
## Cd2In4Hg3 (PBE-GGA)

Data for an optimized crystal structure of Cd2In4Hg3.

As for the formation energy: 0.039 eV per atom.

The structure belongs to space group P3m1 (No. 156); the cell edges are 3.2721, 3.2721 and 25.3251 Å and the angles 90.00°, 90.00° and 120.00°. The asymmetric unit holds Cd at (0.0000, 0.0000, 0.0000), Cd at (0.0000, 0.0000, 0.2048), In at (0.0000, 0.0000, 0.3255), In at (0.0000, 0.0000, 0.5482), In at (0.3333, 0.6667, 0.6642), In at (0.3333, 0.6667, 0.8907), Hg at (0.0000, 0.0000, 0.7787), Hg at (0.3333, 0.6667, 0.1023) and Hg at (0.3333, 0.6667, 0.4356).



[5]
## Tb5Pr12Mg2 (PBE-GGA)

Data for an optimized crystal structure of Tb5Pr12Mg2.

As for the formation energy: 0.083 eV per atom.

The structure belongs to space group C2/m (No. 12); the cell edges are 15.9502, 9.3128 and 8.7066 Å and the angles 90.00°, 92.90° and 90.00°. The asymmetric unit holds Tb at (0.0000, 0.0000, 0.0000), Tb at (0.2026, 0.5000, 0.5284), Tb at (0.2311, 0.0000, 0.0709), Pr at (0.0602, 0.5000, 0.8399), Pr at (0.0791, 0.0000, 0.3808), Pr at (0.1276, 0.3051, 0.1829), Pr at (0.1482, 0.1849, 0.7354) and Mg at (0.0000, 0.3369, 0.5000).



[6]
## YAlNi (PBE-GGA)

Data for an optimized crystal structure of YAlNi.

As for the formation energy: 0.436 eV per atom.

The structure belongs to space group F-43m (No. 216); the cell edges are 6.5364, 6.5364 and 6.5364 Å and the angles 90.00°, 90.00° and 90.00°. The asymmetric unit holds Y at (0.0000, 0.0000, 0.0000), Al at (0.2500, 0.2500, 0.2500) and Ni at (0.2500, 0.2500, 0.7500).



[7]
## Co2SiTeH (PBE-GGA)

Data for an optimized crystal structure of Co2SiTeH.

For the total energy, the calculation gives -23.8 eV for the cell shown.

The structure belongs to space group P4/mmm (No. 123); the cell edges are 4.0553, 4.0553 and 3.6563 Å and the angles 90.00°, 90.00° and 90.00°. The asymmetric unit holds Co at (0.0000, 0.5000, 0.0000), Si at (0.0000, 0.0000, 0.5000), Te at (0.5000, 0.5000, 0.5000) and H at (0.0000, 0.0000, 0.0000).



[8]
## SrY2Rh (PBE-GGA)

Data for an optimized crystal structure of SrY2Rh.

As for the formation energy: -0.214 eV per atom.

The structure belongs to space group Imm2 (No. 44); the cell edges are 3.6944, 5.3670 and 11.7888 Å and the angles 90.00°, 90.00° and 90.00°. The asymmetric unit holds Sr at (0.0000, 0.0000, 0.0000), Y at (0.0000, 0.0000, 0.6230), Y at (0.0000, 0.5000, 0.8062) and Rh at (0.0000, 0.5000, 0.2907).



[9]
## TiTlTc2Pd (PBE-GGA)

Data for an optimized crystal structure of TiTlTc2Pd.

As for the formation energy: 1.328 eV per atom.

The structure belongs to space group P4/mmm (No. 123); the cell edges are 4.8748, 4.8748 and 4.6291 Å and the angles 90.00°, 90.00° and 90.00°. The asymmetric unit holds Ti at (0.0000, 0.0000, 0.0000), Tl at (0.5000, 0.5000, 0.0000), Tc at (0.0000, 0.5000, 0.5000) and Pd at (0.0000, 0.0000, 0.5000).



[10]
## CsTl2ZnGa (PBE-GGA)

Data for an optimized crystal structure of CsTl2ZnGa.

As for the formation energy: 0.301 eV per atom.

The structure belongs to space group P4/mmm (No. 123); the cell edges are 5.6199, 5.6199 and 7.1995 Å and the angles 90.00°, 90.00° and 90.00°. The asymmetric unit holds Cs at (0.0000, 0.0000, 0.0000), Tl at (0.0000, 0.5000, 0.5000), Zn at (0.5000, 0.5000, 0.0000) and Ga at (0.0000, 0.0000, 0.5000).



[11]
## BaMnBi3 (PBE-GGA)

Data for an optimized crystal structure of BaMnBi3.

As for the formation energy: 0.082 eV per atom.

The structure belongs to space group Pm-3m (No. 221); the cell edges are 5.3652, 5.3652 and 5.3652 Å and the angles 90.00°, 90.00° and 90.00°. The asymmetric unit holds Ba at (0.0000, 0.0000, 0.0000), Mn at (0.5000, 0.5000, 0.5000) and Bi at (0.0000, 0.5000, 0.5000).



[12]
## MgTiGe2 (PBE-GGA)

Data for an optimized crystal structure of MgTiGe2.

As for the formation energy: 0.055 eV per atom.

The structure belongs to space group I-42d (No. 122); the cell edges are 7.1832, 7.1832 and 5.8768 Å and the angles 90.00°, 90.00° and 90.00°. The asymmetric unit holds Mg at (0.0000, 0.0000, 0.0000), Ti at (0.0000, 0.0000, 0.5000) and Ge at (0.2432, 0.7500, 0.6250).



Values of DOS(E_F), in order: 2.7548; 0.5270; 0.4334; 0.4173; 1.4410; 1.0068; 0.7137; 0.9322; 0.9733; 0.5756; 1.4624; 0.2690, all in states/eV per atom.
Values of ρ, in order: 14.5; 6.0; 5.0; 9.1; 6.5; 4.2; 7.6; 5.2; 8.4; 4.9; 8.8; 4.8, all in g/cm3.